[1]
Below is a relaxed Sm2AlNi4Ge3 crystal, with properties calculated at the PBE-GGA level.

```
data_Sm2AlNi4Ge3
_chemical_formula_sum 'Sm2 Al1 Ni4 Ge3'
_cell_length_a 4.1026
_cell_length_b 4.1026
_cell_length_c 9.8378
_cell_angle_alpha 90.00
_cell_angle_beta 90.00
_cell_angle_gamma 90.00
_space_group_name_H-M_alt 'P -4 m 2'
_space_group_IT_number 115
loop_
_space_group_symop_operation_xyz
'x,y,z'
'y,-x,-z'
'-x,-y,z'
'-y,x,-z'
'-x,y,z'
'-y,-x,-z'
'x,-y,z'
'y,x,-z'
loop_
_atom_site_label
_atom_site_type_symbol
_atom_site_fract_x
_atom_site_fract_y
_atom_site_fract_z
Sm1 Sm 0.0000 0.5000 0.2466
Al1 Al 0.0000 0.0000 0.5000
Ni1 Ni 0.0000 0.0000 0.0000
Ni2 Ni 0.0000 0.5000 0.6319
Ni3 Ni 0.5000 0.5000 0.0000
Ge1 Ge 0.0000 0.5000 0.8729
Ge2 Ge 0.5000 0.5000 0.5000
```

crystal system	tetragonal
ΔH_f (0 K)	-7.059	eV/f.u.

=====

[2]
Below is a relaxed MgAl2CuSe crystal, with properties calculated at the PBE-GGA level.

```
data_MgAl2CuSe
_chemical_formula_sum 'Mg1 Al2 Cu1 Se1'
_cell_length_a 5.1760
_cell_length_b 5.1760
_cell_length_c 4.5801
_cell_angle_alpha 90.00
_cell_angle_beta 90.00
_cell_angle_gamma 90.00
_space_group_name_H-M_alt 'P 4/m m m'
_space_group_IT_number 123
_space_group_name_Hall '-P 4 2'
loop_
_atom_site_label
_atom_site_type_symbol
_atom_site_fract_x
_atom_site_fract_y
_atom_site_fract_z
Mg1 Mg 0.0000 0.0000 0.0000
Al1 Al 0.0000 0.5000 0.0000
Cu1 Cu 0.0000 0.0000 0.5000
Se1 Se 0.5000 0.5000 0.5000
```

crystal system	tetragonal
uncorrected energy	-2.537	eV/atom